Record 1
The following is a PBE calculation of CaScCr2 after structural relaxation, from the Alexandria database.

Cell and atoms, written as POSCAR:
```
CaScCr2
1.0
-6.6447 6.6750 -0.5944
-8.3803 4.3011 0.5751
-6.7027 6.1447 2.5250
Sc Cr Ca
1 2 1
direct
0.5190 0.5190 0.5190 Sc
0.9803 0.9803 0.9803 Cr
0.2630 0.2630 0.2630 Cr
0.7377 0.7377 0.7377 Ca
```

Results
space-group type = R3m (160)
crystal system = trigonal
formation energy = 60.7 kJ/mol of atoms
energy above the lowest structure with this stoichiometry = 293 meV/atom
calculated total energy = -6.266 eV per atom

---

Record 2
The following is a PBE calculation of CaScCr2 after structural relaxation, from the Alexandria database.

Cell and atoms, written as POSCAR:
```
CaScCr2
1.0
-1.2554 -2.6219 -1.2139
1.4458 -1.7160 2.2111
-6.5574 0.8495 4.9470
Sc Cr Ca
1 2 1
direct
0.0000 0.0000 0.4252 Sc
0.0000 0.0000 0.0757 Cr
0.5000 0.5000 0.2045 Cr
0.5000 0.5000 0.7947 Ca
```

Results
space-group type = P4mm (99)
crystal system = tetragonal
formation energy = 32.4 kJ/mol of atoms
energy above the lowest structure with this stoichiometry = 0 meV/atom
calculated total energy = -6.559 eV per atom

---

Record 3
The following is a PBE calculation of CaScCr3 after structural relaxation, from the Alexandria database.

Cell and atoms, written as POSCAR:
```
CaScCr3
1.0
4.8836 0.0000 0.0000
0.0000 4.8836 0.0000
0.0000 0.0000 4.8836
Sc Cr Ca
1 3 1
direct
0.0000 0.0000 0.0000 Sc
0.0000 0.5000 0.0000 Cr
0.0000 0.0000 0.5000 Cr
0.5000 0.0000 0.0000 Cr
0.5000 0.5000 0.5000 Ca
```

Results
space-group type = Pm-3m (221)
crystal system = cubic
formation energy = 120.5 kJ/mol of atoms
energy above the lowest structure with this stoichiometry = 0 meV/atom
calculated total energy = -6.191 eV per atom